TiVBSe2: relaxed, GGA-PBE.

Properties
- Symmetry: P4/mmm
- Formation energy (no corrections): 9.4 kcal/mol of atoms

Cell lengths 4.525, 3.892, 4.525 Å; angles 90.00, 90.00, 90.00 degrees
Each line ends with the local moment (μB).
Sites, in units of the cell vectors:
Se 0.500 0.000 0.000  0.00
Ti 0.500 0.500 0.500  -0.42
Se 0.000 0.000 0.500  0.00
V 0.000 0.500 0.000  1.47
B 0.000 0.000 0.000  0.00

RbZrHg3: relaxed, GGA-PBE.

Properties
- Symmetry: Pm-3m
- Offset from the most stable computed form: 0.00 eV per formula unit

Cell lengths 5.710, 5.710, 5.710 Å; angles 90.00, 90.00, 90.00 degrees
Each line ends with the local moment (μB).
Sites, in units of the cell vectors:
Hg 0.500 0.000 0.000  0.05
Rb 0.500 0.500 0.500  0.00
Hg 0.000 0.000 0.500  0.02
Hg 0.000 0.500 0.000  0.05
Zr 0.000 0.000 0.000  0.52

LiCa4Pr3Te8: relaxed, GGA-PBE.

Properties
- Symmetry: R-3m
- Formation energy (no corrections): -34.6 kcal/mol of atoms

Cell lengths 8.982, 9.033, 8.983 Å; angles 119.82, 120.00, 90.00 degrees
Sites, in units of the cell vectors:
Te 0.244 0.250 0.997
Ca 0.000 0.000 0.000
Pr 0.000 0.500 0.500
Ca 0.500 0.000 0.500
Te 0.752 0.756 0.504
Te 0.247 0.750 0.494
Pr 0.500 0.500 0.000
Te 0.753 0.250 0.997
Te 0.247 0.750 0.003
Te 0.756 0.750 0.003
Pr 0.500 0.500 0.500
Li 0.000 0.500 0.000
Te 0.248 0.244 0.496
Ca 0.000 0.000 0.500
Te 0.753 0.250 0.506
Ca 0.500 0.000 0.000